{"formula": "CrOs2Au", "functional": "SCAN", "state": "single point on PBEsol structure", "magmom_total_mub_per_cell": 0.0, "ef_ev_per_atom": 0.30, "dft_energy_ev_per_atom": -57.522, "mass_density_g_cm3": 18.596, "relative_energy_mev_per_atom": 11, "lattice": [[2.713, 0.000, 0.000], [0.000, 4.687, 0.014], [-1.357, -0.951, 4.417]], "species": ["Os", "Os", "Cr", "Au"], "fractional_positions": [[0.767, 0.775, 0.534], [0.233, 0.225, 0.466], [0.500, 0.000, 0.000], [0.000, 0.500, 0.000]]}

{"formula": "TlTc2Sb", "functional": "SCAN", "state": "single point on PBEsol structure", "magmom_total_mub_per_cell": 0.0, "dft_energy_ev_per_atom": -44.128, "mass_density_g_cm3": 11.977, "relative_energy_mev_per_atom": 53, "lattice": [[3.061, 0.008, 0.012], [-1.395, 5.103, -0.011], [-1.395, -2.152, 4.628]], "species": ["Tc", "Tc", "Sb", "Tl"], "fractional_positions": [[0.000, 0.500, 0.000], [0.000, 0.000, 0.500], [0.500, 0.500, 0.500], [0.500, 0.000, 0.000]]}

{"formula": "Ta2Al2Pb", "functional": "SCAN", "state": "single point on PBEsol structure", "magmom_total_mub_per_cell": 0.0, "ef_ev_per_atom": 0.43, "dft_energy_ev_per_atom": -44.461, "mass_density_g_cm3": 10.209, "lattice": [[3.896, 0.000, 0.000], [0.000, 3.896, 0.000], [-1.948, -1.948, 6.676]], "species": ["Pb", "Al", "Al", "Ta", "Ta"], "fractional_positions": [[0.000, 0.000, 0.000], [0.600, 0.600, 0.200], [0.400, 0.400, 0.800], [0.750, 0.250, 0.500], [0.250, 0.750, 0.500]]}